Entry 1:
This record from the Alexandria database describes crystalline AgAuCS2 at its relaxed geometry. The functional is PBE-GGA.

CIF file:
```
data_AgAuCS2
_cell_length_a 4.441
_cell_length_b 4.920
_cell_length_c 7.883
_cell_angle_alpha 89.27
_cell_angle_beta 74.87
_cell_angle_gamma 63.64
_space_group_name_H-M_alt 'P 1'
_space_group_IT_number 1
loop_
_space_group_symop_operation_xyz
'x,y,z'
loop_
_atom_site_label
_atom_site_fract_x
_atom_site_fract_y
_atom_site_fract_z
Ag1 0.000 0.000 0.000
Au1 0.403 0.369 0.815
C1 0.945 0.883 0.249
S1 0.893 0.822 0.441
S2 0.995 0.253 0.740
```

Computed properties:
- offset from the most stable computed form (eV/atom) = 0.2511
- size of the total moment (μB per cell) = 0.0
- uncorrected energy (eV/atom) = -4.19
- theoretical density (g/cm³) = 4.28
- formation energy without anion corrections (eV/f.u.) = 2.67

***

Entry 2:
This record from the Alexandria database describes crystalline AgAuCS2 at its relaxed geometry. The functional is PBE-GGA.

CIF file:
```
data_AgAuCS2
_cell_length_a 5.023
_cell_length_b 5.402
_cell_length_c 5.490
_cell_angle_alpha 97.96
_cell_angle_beta 116.93
_cell_angle_gamma 107.87
_space_group_name_H-M_alt 'P 1'
_space_group_IT_number 1
loop_
_space_group_symop_operation_xyz
'x,y,z'
loop_
_atom_site_label
_atom_site_fract_x
_atom_site_fract_y
_atom_site_fract_z
Ag1 0.000 0.000 0.000
Au1 0.458 0.451 0.916
C1 0.386 0.952 0.340
S1 0.547 0.720 0.335
S2 0.607 0.170 0.690
```

Computed properties:
- offset from the most stable computed form (eV/atom) = 0.1527
- size of the total moment (μB per cell) = 0.0
- uncorrected energy (eV/atom) = -4.29
- theoretical density (g/cm³) = 5.30
- formation energy without anion corrections (eV/f.u.) = 2.18

***

Entry 3:
This record from the Alexandria database describes crystalline AgAuCS2 at its relaxed geometry. The functional is PBE-GGA.

CIF file:
```
data_AgAuCS2
_cell_length_a 7.296
_cell_length_b 4.229
_cell_length_c 8.948
_cell_angle_alpha 90.00
_cell_angle_beta 105.98
_cell_angle_gamma 90.00
_space_group_name_H-M_alt 'C 1 m 1'
_space_group_IT_number 8
loop_
_space_group_symop_operation_xyz
'x,y,z'
'x,-y,z'
'x+1/2,y+1/2,z'
'x+1/2,-y+1/2,z'
loop_
_atom_site_label
_atom_site_fract_x
_atom_site_fract_y
_atom_site_fract_z
Ag1 0.000 0.000 0.000
Au1 0.416 0.000 0.248
C1 0.423 0.500 0.766
S1 0.090 0.000 0.276
S2 0.364 0.500 0.589
```

Computed properties:
- offset from the most stable computed form (eV/atom) = 0.2601
- size of the total moment (μB per cell) = 0.0
- uncorrected energy (eV/atom) = -4.18
- theoretical density (g/cm³) = 4.77
- formation energy without anion corrections (eV/f.u.) = 2.72

***

Entry 4:
This record from the Alexandria database describes crystalline AgAuCS2 at its relaxed geometry. The functional is PBE-GGA.

CIF file:
```
data_AgAuCS2
_cell_length_a 2.835
_cell_length_b 4.757
_cell_length_c 9.231
_cell_angle_alpha 76.57
_cell_angle_beta 87.18
_cell_angle_gamma 72.87
_space_group_name_H-M_alt 'P 1'
_space_group_IT_number 1
loop_
_space_group_symop_operation_xyz
'x,y,z'
loop_
_atom_site_label
_atom_site_fract_x
_atom_site_fract_y
_atom_site_fract_z
Ag1 0.000 0.000 0.000
Au1 0.718 0.621 0.816
C1 0.699 0.734 0.588
S1 0.190 0.787 0.479
S2 0.741 0.489 0.084
```

Computed properties:
- offset from the most stable computed form (eV/atom) = 0.1116
- size of the total moment (μB per cell) = 0.0
- uncorrected energy (eV/atom) = -4.33
- theoretical density (g/cm³) = 5.47
- formation energy without anion corrections (eV/f.u.) = 1.97

***

Entry 5:
This record from the Alexandria database describes crystalline AgAuCS2 at its relaxed geometry. The functional is PBE-GGA.

CIF file:
```
data_AgAuCS2
_cell_length_a 4.472
_cell_length_b 5.764
_cell_length_c 6.989
_cell_angle_alpha 107.30
_cell_angle_beta 90.51
_cell_angle_gamma 112.70
_space_group_name_H-M_alt 'P 1'
_space_group_IT_number 1
loop_
_space_group_symop_operation_xyz
'x,y,z'
loop_
_atom_site_label
_atom_site_fract_x
_atom_site_fract_y
_atom_site_fract_z
Ag1 0.000 0.000 0.000
Au1 0.252 0.511 0.923
C1 0.070 0.156 0.723
S1 0.474 0.944 0.127
S2 0.953 0.934 0.515
```

Computed properties:
- offset from the most stable computed form (eV/atom) = 0.1373
- size of the total moment (μB per cell) = 0.0
- uncorrected energy (eV/atom) = -4.30
- theoretical density (g/cm³) = 4.03
- formation energy without anion corrections (eV/f.u.) = 2.10

***

Entry 6:
This record from the Alexandria database describes crystalline AgAuCS2 at its relaxed geometry. The functional is PBE-GGA.

CIF file:
```
data_AgAuCS2
_cell_length_a 4.386
_cell_length_b 4.388
_cell_length_c 8.654
_cell_angle_alpha 75.51
_cell_angle_beta 75.36
_cell_angle_gamma 60.01
_space_group_name_H-M_alt 'P 1'
_space_group_IT_number 1
loop_
_space_group_symop_operation_xyz
'x,y,z'
loop_
_atom_site_label
_atom_site_fract_x
_atom_site_fract_y
_atom_site_fract_z
Ag1 0.000 0.000 0.000
Au1 0.592 0.589 0.230
C1 0.517 0.512 0.461
S1 0.457 0.450 0.646
S2 0.682 0.682 0.953
```

Computed properties:
- offset from the most stable computed form (eV/atom) = 0.0971
- size of the total moment (μB per cell) = 0.0
- uncorrected energy (eV/atom) = -4.34
- theoretical density (g/cm³) = 4.58
- formation energy without anion corrections (eV/f.u.) = 1.90

***

Q: Which of these has the highest offset from the most stable computed form?
A: number 3

***

Repeat the fifth record exactly.
This record from the Alexandria database describes crystalline AgAuCS2 at its relaxed geometry. The functional is PBE-GGA.

CIF file:
```
data_AgAuCS2
_cell_length_a 4.472
_cell_length_b 5.764
_cell_length_c 6.989
_cell_angle_alpha 107.30
_cell_angle_beta 90.51
_cell_angle_gamma 112.70
_space_group_name_H-M_alt 'P 1'
_space_group_IT_number 1
loop_
_space_group_symop_operation_xyz
'x,y,z'
loop_
_atom_site_label
_atom_site_fract_x
_atom_site_fract_y
_atom_site_fract_z
Ag1 0.000 0.000 0.000
Au1 0.252 0.511 0.923
C1 0.070 0.156 0.723
S1 0.474 0.944 0.127
S2 0.953 0.934 0.515
```

Computed properties:
- offset from the most stable computed form (eV/atom) = 0.1373
- size of the total moment (μB per cell) = 0.0
- uncorrected energy (eV/atom) = -4.30
- theoretical density (g/cm³) = 4.03
- formation energy without anion corrections (eV/f.u.) = 2.10

***

Q: Number 2 is which compound?
A: AgAuCS2

***

Q: Which value of formation energy without anion corrections does entry 5 give?
A: 2.10 eV/f.u.